# K3Cd2Ag3, relaxed, DFT PBE-GGA
# - ΔE to the lowest computed polymorph: 0 meV/atom
# - ΔH_f (0 K): -0.2 eV per formula unit
# - Size of the total moment: 0.0 μB/cell
# - Calculated volume: 31.311 Å³ per atom
# - Crystal system: orthorhombic
data_K3Cd2Ag3
_cell_length_a 4.957
_cell_length_b 12.420
_cell_length_c 16.275
_cell_angle_alpha 90.00
_cell_angle_beta 90.00
_cell_angle_gamma 90.00
_space_group_name_H-M_alt 'C m c m'
_space_group_IT_number 63
_space_group_name_Hall '-C 2c 2'
loop_
_atom_site_label
_atom_site_fract_x
_atom_site_fract_y
_atom_site_fract_z
_atom_site_occupancy
K1 0.000 0.084 0.114 1
K2 0.000 0.384 0.250 1
Cd1 0.000 0.211 0.585 1
Ag1 0.000 0.304 0.750 1
Ag2 0.000 0.394 0.034 1